No. 1
Nb2Co21B6: single point on PBEsol structure, meta-GGA SCAN.

Cell lengths 7.3235, 7.3235, 7.3235 Å; angles 60.00, 60.00, 60.00 degrees
Each line ends with the local moment (μB).
Positions (direct):
Co 0.3836 0.3836 0.3836  0.61
Co 0.6164 0.6164 0.6164  0.61
Co 0.0000 0.0000 0.3378  1.49
Co 0.3836 0.8492 0.3836  0.61
Co 0.3378 0.0000 0.0000  1.49
Co 0.1508 0.6164 0.6164  0.61
Co 0.8492 0.3836 0.3836  0.61
Co 0.6164 0.1508 0.6164  0.61
Co 0.6622 0.3378 0.0000  1.49
Co 0.6622 0.0000 0.0000  1.49
Co 0.0000 0.0000 0.0000  1.96
Co 0.0000 0.3378 0.6622  1.49
Co 0.0000 0.0000 0.6622  1.49
Co 0.0000 0.6622 0.0000  1.49
Co 0.3836 0.3836 0.8492  0.61
Co 0.3378 0.6622 0.0000  1.49
Co 0.0000 0.6622 0.3378  1.49
Co 0.6622 0.0000 0.3378  1.49
Co 0.3378 0.0000 0.6622  1.49
Co 0.6164 0.6164 0.1508  0.61
Co 0.0000 0.3378 0.0000  1.49
Nb 0.2500 0.2500 0.2500  -0.38
Nb 0.7500 0.7500 0.7500  -0.38
B 0.7264 0.7264 0.2736  -0.09
B 0.2736 0.7264 0.2736  -0.09
B 0.7264 0.2736 0.7264  -0.09
B 0.2736 0.7264 0.7264  -0.09
B 0.2736 0.2736 0.7264  -0.09
B 0.7264 0.2736 0.2736  -0.09

ΔH_f (0 K) (eV/atom): -0.19

No. 2
AgBrF2: single point on PBEsol structure, meta-GGA SCAN.

Cell lengths 4.3207, 4.3207, 4.3207 Å; angles 60.00, 60.00, 60.00 degrees
Each line ends with the local moment (μB).
Positions (direct):
F 0.2500 0.2500 0.2500  0.33
F 0.7500 0.7500 0.7500  0.33
Ag 0.5000 0.5000 0.5000  0.19
Br 0.0000 0.0000 0.0000  0.96

E_form (uncorrected) (meV per atom): -375

No. 3
Hf2CuAsW: single point on PBEsol structure, meta-GGA SCAN.

Cell lengths 4.4805, 4.7372, 4.7372 Å; angles 90.00, 90.00, 90.00 degrees
Positions (direct):
Hf 0.0000 0.0000 0.5000
Hf 0.0000 0.5000 0.0000
As 0.5000 0.5000 0.5000
Cu 0.0000 0.0000 0.0000
W 0.5000 0.0000 0.0000

ΔH_f (0 K) (eV/atom): 0.85

Please write out number 3 again, unchanged.
Hf2CuAsW: single point on PBEsol structure, meta-GGA SCAN.

Cell lengths 4.4805, 4.7372, 4.7372 Å; angles 90.00, 90.00, 90.00 degrees
Positions (direct):
Hf 0.0000 0.0000 0.5000
Hf 0.0000 0.5000 0.0000
As 0.5000 0.5000 0.5000
Cu 0.0000 0.0000 0.0000
W 0.5000 0.0000 0.0000

ΔH_f (0 K) (eV/atom): 0.85